The following is a DFT calculation (PBE with a Hubbard U) of a geometry-optimized KAgMoO4 structure.

Computed properties:
The calculation puts the spin magnetization at 0.0 μB/f.u. As for the crystal system: monoclinic. As for the calculated total energy: -5.81 eV per atom. Its space-group type is P2_1/m (11).

Cell and atoms, written as POSCAR:
```
KAgMoO4
1.0
6.1108 0.0000 0.0000
0.0000 6.7377 0.0000
-2.4243 0.0000 6.5444
K Ag Mo O
2 2 2 8
Direct
0.2296 0.2500 0.4904
0.7704 0.7500 0.5096
0.4493 0.2500 0.0867
0.5507 0.7500 0.9133
0.1917 0.7500 0.1348
0.8083 0.2500 0.8652
0.0882 0.2500 0.8315
0.1608 0.7500 0.8669
0.3559 0.5351 0.2598
0.3559 0.9649 0.2598
0.6441 0.0351 0.7402
0.6441 0.4649 0.7402
0.8392 0.2500 0.1331
0.9118 0.7500 0.1685
```